Record 1
The following is a DFT calculation (PBE) of a geometry-optimized Ce2RuPt structure.

Output
The crystal system is orthorhombic. For the total energy, the calculation gives -7.5372 eV per atom. The volume is 89.60 Å³/f.u. The total magnetization is 0.1250 μB per atom.

Lattice parameters (Å, degrees): 4.520 3.879 10.929 110.74 90.00 90.00
Last column: magnetic moment on the atom in μB.
Positions (direct):
Pt (0.750, 0.917, 0.667)  -0.02
Ce (0.250, 0.371, 0.621)  0.41
Ce (0.750, 0.629, 0.379)  0.41
Ru (0.250, 0.110, 0.859)  -0.02
Ce (0.750, 0.658, 0.908)  0.04
Pt (0.250, 0.083, 0.333)  -0.02
Ce (0.250, 0.342, 0.092)  0.04
Ru (0.750, 0.890, 0.141)  -0.02

Record 2
The following is a DFT calculation (PBE) of a geometry-optimized Ce4RuPt3 structure.

Output
The crystal system is orthorhombic. For the total energy, the calculation gives -7.3102 eV per atom. The volume is 183.17 Å³/f.u. The total magnetization is 0.1793 μB per atom.

Lattice parameters (Å, degrees): 3.877 4.400 10.738 90.00 90.00 90.00
Last column: magnetic moment on the atom in μB.
Positions (direct):
Ce (0.500, 0.000, 0.631)  0.41
Pt (0.000, 0.000, 0.406)  -0.01
Ce (0.500, 0.500, 0.343)  0.13
Ce (0.000, 0.500, 0.867)  0.50
Pt (0.000, 0.500, 0.592)  -0.02
Pt (0.500, 0.000, 0.911)  -0.02
Ru (0.500, 0.500, 0.114)  -0.05
Ce (0.000, 0.000, 0.136)  0.26

Record 3
The following is a DFT calculation (PBE) of a geometry-optimized Ce8RuPt2 structure.

Output
The crystal system is monoclinic. For the total energy, the calculation gives -6.6957 eV per atom. As for the distance to the lowest polymorph of the same formula: 0 meV/atom. The volume is 264.33 Å³/f.u. The total magnetization is 0.0001 μB per atom.

Lattice parameters (Å, degrees): 4.567 6.562 9.222 98.93 104.34 90.00
Positions (direct):
Ce (0.779, 0.749, 0.558)
Ce (0.657, 0.991, 0.314)
Pt (0.835, 0.316, 0.670)
Ce (0.009, 0.252, 0.018)
Ce (0.410, 0.545, 0.819)
Ce (0.221, 0.251, 0.442)
Ce (0.991, 0.748, 0.982)
Pt (0.165, 0.684, 0.330)
Ru (0.500, 0.000, 0.000)
Ce (0.590, 0.455, 0.181)
Ce (0.343, 0.009, 0.686)

Record 4
The following is a DFT calculation (PBE) of a geometry-optimized Ce2RuPt structure.

Output
The crystal system is monoclinic. For the total energy, the calculation gives -7.5245 eV per atom. The volume is 87.71 Å³/f.u. The total magnetization is 0.0669 μB per atom.

Lattice parameters (Å, degrees): 5.592 7.114 8.820 90.07 90.00 90.00
Last column: magnetic moment on the atom in μB.
Positions (direct):
Ce (0.328, 0.326, 0.402)  0.05
Pt (0.334, 0.015, 0.631)  -0.01
Ce (0.172, 0.826, 0.902)  0.05
Ce (0.828, 0.174, 0.098)  0.05
Ce (0.152, 0.836, 0.350)  0.21
Ce (0.652, 0.664, 0.150)  0.21
Ce (0.348, 0.336, 0.850)  0.21
Ce (0.848, 0.164, 0.650)  0.21
Ru (0.177, 0.592, 0.610)  -0.03
Ce (0.672, 0.674, 0.598)  0.05
Ru (0.677, 0.908, 0.890)  -0.03
Ru (0.823, 0.408, 0.390)  -0.03
Pt (0.834, 0.485, 0.869)  -0.01
Pt (0.166, 0.515, 0.131)  -0.01
Pt (0.666, 0.985, 0.369)  -0.01
Ru (0.323, 0.092, 0.110)  -0.03

Record 5
The following is a DFT calculation (PBE) of a geometry-optimized Ce6RuPt2 structure.

Output
The crystal system is orthorhombic. For the total energy, the calculation gives -6.8972 eV per atom. The volume is 219.91 Å³/f.u. The total magnetization is 0.1662 μB per atom.

Lattice parameters (Å, degrees): 4.525 7.210 7.645 118.13 90.00 90.00
Last column: magnetic moment on the atom in μB.
Positions (direct):
Pt (0.000, 0.277, 0.610)  -0.01
Ce (0.500, 0.382, 0.400)  0.38
Ce (0.500, 0.586, 0.000)  0.26
Ce (0.500, 0.982, 0.600)  0.38
Ce (0.000, 0.947, 0.198)  0.07
Ce (0.000, 0.321, 0.000)  0.12
Ce (0.000, 0.749, 0.802)  0.07
Ru (0.500, 0.089, 0.000)  -0.04
Pt (0.000, 0.667, 0.390)  -0.01

Record 6
The following is a DFT calculation (PBE) of a geometry-optimized Ce3RuPt structure.

Output
The crystal system is monoclinic. For the total energy, the calculation gives -7.2037 eV per atom. As for the distance to the lowest polymorph of the same formula: 0 meV/atom. The volume is 113.95 Å³/f.u. The total magnetization is 0.0011 μB per atom.

Lattice parameters (Å, degrees): 4.606 7.200 9.716 113.04 76.29 129.76
Positions (direct):
Ce (0.252, 0.678, 0.352)
Ce (0.485, 0.707, 0.944)
Pt (0.756, 0.119, 0.226)
Ru (0.102, 0.261, 0.818)
Ce (0.270, 0.235, 0.430)
Ru (0.898, 0.739, 0.182)
Pt (0.244, 0.881, 0.774)
Ce (0.748, 0.322, 0.648)
Ce (0.730, 0.765, 0.570)
Ce (0.515, 0.293, 0.056)

Record 7
The following is a DFT calculation (PBE) of a geometry-optimized CeRuPt structure.

Output
The crystal system is orthorhombic. For the total energy, the calculation gives -7.7645 eV per atom. As for the distance to the lowest polymorph of the same formula: 0 meV/atom. The volume is 56.02 Å³/f.u. The total magnetization is 0.0001 μB per atom.

Lattice parameters (Å, degrees): 5.339 5.442 5.442 59.08 60.62 60.62
Positions (direct):
Ru (0.500, 0.000, 0.000)
Pt (0.500, 0.000, 0.500)
Ce (0.123, 0.627, 0.627)
Pt (0.500, 0.500, 0.000)
Ce (0.877, 0.373, 0.373)
Ru (0.000, 0.000, 0.000)

Record 8
The following is a DFT calculation (PBE) of a geometry-optimized Ce6Ru2Pt structure.

Output
The crystal system is monoclinic. For the total energy, the calculation gives -7.1479 eV per atom. As for the distance to the lowest polymorph of the same formula: 0 meV/atom. The volume is 207.17 Å³/f.u. The total magnetization is 0.0020 μB per atom.

Lattice parameters (Å, degrees): 4.803 5.645 8.554 98.37 90.00 115.18
Positions (direct):
Ce (0.317, 0.634, 0.411)
Ce (0.388, 0.777, 0.822)
Ru (0.726, 0.452, 0.877)
Ce (0.683, 0.366, 0.589)
Ce (0.950, 0.900, 0.151)
Ru (0.274, 0.548, 0.123)
Ce (0.050, 0.100, 0.849)
Ce (0.612, 0.223, 0.178)
Pt (0.000, 0.000, 0.500)

Record 9
The following is a DFT calculation (PBE) of a geometry-optimized CeRu2Pt structure.

Output
The crystal system is tetragonal. For the total energy, the calculation gives -8.0202 eV per atom. The volume is 68.12 Å³/f.u. The total magnetization is 0.0000 μB per atom.

Lattice parameters (Å, degrees): 3.971 4.142 4.142 90.00 90.00 90.00
Positions (direct):
Ru (0.000, 0.500, 0.000)
Ce (0.500, 0.500, 0.500)
Ru (0.000, 0.000, 0.500)
Pt (0.500, 0.000, 0.000)

Record 10
The following is a DFT calculation (PBE) of a geometry-optimized CeRuPt structure.

Output
The crystal system is hexagonal. For the total energy, the calculation gives -7.5898 eV per atom. As for the distance to the lowest polymorph of the same formula: 175 meV/atom. The volume is 62.99 Å³/f.u. The total magnetization is 0.0271 μB per atom.

Lattice parameters (Å, degrees): 3.832 4.356 4.356 120.00 90.00 90.00
Last column: magnetic moment on the atom in μB.
Positions (direct):
Ru (0.167, 0.333, 0.667)  0.07
Ce (0.667, 0.667, 0.333)  -0.16
Pt (0.167, 0.000, 0.000)  0.02

Record 11
The following is a DFT calculation (PBE) of a geometry-optimized Ce2Ru3Pt structure.

Output
The crystal system is monoclinic. For the total energy, the calculation gives -8.1123 eV per atom. The volume is 110.46 Å³/f.u. The total magnetization is 0.0003 μB per atom.

Lattice parameters (Å, degrees): 5.331 5.331 5.445 89.90 119.35 120.08
Positions (direct):
Ce (0.758, 0.379, 0.136)
Ce (0.242, 0.621, 0.864)
Ru (0.500, 0.500, 0.500)
Ru (0.000, 0.000, 0.500)
Ru (0.500, 0.000, 0.500)
Pt (0.000, 0.000, 0.000)

Record 12
The following is a DFT calculation (PBE) of a geometry-optimized Ce8Ru2Pt3 structure.

Output
The crystal system is monoclinic. For the total energy, the calculation gives -6.9899 eV per atom. The volume is 308.73 Å³/f.u. The total magnetization is 0.0571 μB per atom.

Lattice parameters (Å, degrees): 5.430 8.400 8.199 120.82 103.71 90.00
Last column: magnetic moment on the atom in μB.
Positions (direct):
Pt (0.000, 0.318, 0.000)  0.00
Ce (0.481, 0.584, 0.754)  -0.05
Ce (0.481, 0.170, 0.754)  -0.05
Ce (0.014, 0.119, 0.238)  -0.14
Ce (0.986, 0.881, 0.762)  -0.14
Ru (0.479, 0.784, 0.568)  0.01
Ce (0.965, 0.678, 0.356)  -0.09
Ce (0.519, 0.830, 0.246)  -0.05
Pt (0.500, 0.000, 0.000)  0.00
Ce (0.519, 0.416, 0.246)  -0.05
Pt (0.000, 0.682, 0.000)  0.00
Ce (0.035, 0.322, 0.644)  -0.09
Ru (0.521, 0.216, 0.432)  0.01

Please write out number 1 again, unchanged.
The following is a DFT calculation (PBE) of a geometry-optimized Ce2RuPt structure.

Output
The crystal system is orthorhombic. For the total energy, the calculation gives -7.5372 eV per atom. The volume is 89.60 Å³/f.u. The total magnetization is 0.1250 μB per atom.

Lattice parameters (Å, degrees): 4.520 3.879 10.929 110.74 90.00 90.00
Last column: magnetic moment on the atom in μB.
Positions (direct):
Pt (0.750, 0.917, 0.667)  -0.02
Ce (0.250, 0.371, 0.621)  0.41
Ce (0.750, 0.629, 0.379)  0.41
Ru (0.250, 0.110, 0.859)  -0.02
Ce (0.750, 0.658, 0.908)  0.04
Pt (0.250, 0.083, 0.333)  -0.02
Ce (0.250, 0.342, 0.092)  0.04
Ru (0.750, 0.890, 0.141)  -0.02